Material: Ac2YUN4
Method: DFT, PBE
State: relaxed

Values from the calculation:
E_tot: -8.7227 eV per atom
Formation energy (no corrections): -1.314 eV per atom

The structure in CIF format:
```
data_Ac2YUN4
_chemical_formula_sum 'Ac2 Y1 U1 N4'
_symmetry_space_group_name_H-M 'P 1 2/m 1'
_symmetry_Int_Tables_number 10
_symmetry_space_group_name_Hall '-P 2y'
_cell_length_a 6.148
_cell_length_b 3.616
_cell_length_c 6.505
_cell_angle_alpha 90.00
_cell_angle_beta 108.32
_cell_angle_gamma 90.00
loop_
_atom_site_label
_atom_site_type_symbol
_atom_site_fract_x
_atom_site_fract_y
_atom_site_fract_z
Ac1 Ac 0.000 0.000 0.000
Ac2 Ac 0.500 0.500 0.000
Y1 Y 0.000 0.500 0.500
U1 U 0.500 0.000 0.500
N1 N 0.262 0.000 0.695
N2 N 0.287 0.500 0.309
```